{
  "formula": "BaCr3C4O12",
  "functional": "PBE+U",
  "state": "optimized geometry",
  "cell": [[4.969, 2.869, 2.839], [-4.969, 2.869, 2.839], [0.000, -5.738, 2.839]],
  "species": ["Ba", "Cr", "Cr", "Cr", "C", "C", "C", "C", "O", "O", "O", "O", "O", "O", "O", "O", "O", "O", "O", "O"],
  "frac_coords": [[0.000, 0.000, 0.000], [0.000, 0.544, 0.456], [0.456, 0.000, 0.544], [0.544, 0.456, 0.000], [0.046, 0.500, 0.954], [0.500, 0.500, 0.500], [0.500, 0.954, 0.046], [0.954, 0.046, 0.500], [0.014, 0.598, 0.798], [0.087, 0.913, 0.500], [0.202, 0.402, 0.986], [0.369, 0.631, 0.500], [0.402, 0.986, 0.202], [0.500, 0.087, 0.913], [0.500, 0.369, 0.631], [0.598, 0.798, 0.014], [0.631, 0.500, 0.369], [0.798, 0.014, 0.598], [0.913, 0.500, 0.087], [0.986, 0.202, 0.402]],
  "space_group": "No. 155",
  "final_energy_ev_per_atom": -7.693,
  "vol_a3_per_cell": 242.83
}